Density functional theory data (GGA-PBE) for crystalline Tb3Al3Os at its relaxed geometry.

The structure in POSCAR format:
```
Tb3Al3Os
1.0
3.845 0.000 0.579
1.870 5.626 0.638
-0.274 0.409 14.872
Al Tb Os
6 6 2
Direct
0.977 0.818 0.228
0.023 0.182 0.772
0.098 0.879 0.926
0.825 0.816 0.534
0.902 0.121 0.074
0.175 0.184 0.466
0.481 0.651 0.386
0.519 0.349 0.614
0.740 0.761 0.759
0.377 0.324 0.921
0.623 0.676 0.079
0.260 0.239 0.241
0.218 0.937 0.628
0.782 0.063 0.372
```

Summary:
- Volume: 322.0 Å³/cell
- E_form: -2.90 eV per formula unit

---

Density functional theory data (GGA-PBE) for crystalline Tb4Al12Os at its relaxed geometry.

The structure in POSCAR format:
```
Tb4Al12Os
1.0
7.077 0.000 -2.502
-3.538 6.129 -2.502
0.000 0.000 7.506
Tb Al Os
4 12 1
Direct
0.500 0.500 0.500
0.000 0.000 0.500
0.500 0.000 0.000
0.000 0.500 0.000
0.713 0.000 0.713
0.500 0.750 0.250
0.250 0.500 0.750
0.287 0.000 0.287
0.287 0.287 0.000
0.000 0.713 0.713
0.250 0.750 0.500
0.750 0.500 0.250
0.000 0.287 0.287
0.750 0.250 0.500
0.500 0.250 0.750
0.713 0.713 0.000
0.000 0.000 0.000
```

Summary:
- Volume: 325.5 Å³/cell
- E_form: -8.02 eV per formula unit

---

Density functional theory data (GGA-PBE) for crystalline Tb2Al3Os at its relaxed geometry.

The structure in POSCAR format:
```
Tb2Al3Os
1.0
2.214 -3.012 -4.023
1.014 -1.261 5.248
-5.351 -0.231 0.978
Al Tb Os
3 2 1
Direct
0.000 0.000 0.500
0.500 0.500 0.500
0.500 0.000 0.500
0.255 0.628 0.883
0.745 0.372 0.117
0.000 0.000 0.000
```

Summary:
- Volume: 115.6 Å³/cell
- E_form: -3.01 eV per formula unit

---

Density functional theory data (GGA-PBE) for crystalline TbAl6Os at its relaxed geometry.

The structure in POSCAR format:
```
TbAl6Os
1.0
5.843 0.000 0.000
2.922 5.060 0.000
2.922 1.687 5.967
Al Os Tb
6 1 1
Direct
0.084 0.557 0.275
0.916 0.916 0.725
0.916 0.443 0.725
0.084 0.084 0.275
0.443 0.916 0.725
0.557 0.084 0.275
0.000 0.000 0.000
0.500 0.500 0.500
```

Summary:
- Volume: 176.4 Å³/cell
- E_form: 0.30 eV per formula unit

---

Density functional theory data (GGA-PBE) for crystalline TbAl11Os at its relaxed geometry.

The structure in POSCAR format:
```
TbAl11Os
1.0
4.824 -0.025 2.010
2.334 6.673 0.972
-0.019 -0.012 6.839
Al Os Tb
11 1 1
Direct
0.016 0.641 0.346
0.000 0.500 0.000
0.362 0.641 0.654
0.984 0.359 0.654
0.500 0.776 0.216
0.500 0.224 0.784
0.716 0.776 0.784
0.638 0.359 0.346
0.284 0.224 0.216
0.500 0.000 0.500
0.000 0.000 0.500
0.500 0.500 0.000
0.000 0.000 0.000
```

Summary:
- Volume: 220.8 Å³/cell
- E_form: -3.00 eV per formula unit

---

Density functional theory data (GGA-PBE) for crystalline TbTmAlOs at its relaxed geometry.

The structure in POSCAR format:
```
TbTmAlOs
1.0
4.918 0.000 0.000
2.459 4.259 0.000
2.459 1.420 4.016
Os Al Tb Tm
1 1 1 1
Direct
0.250 0.250 0.250
0.750 0.750 0.750
0.000 0.000 0.000
0.500 0.500 0.500
```

Summary:
- Volume: 84.1 Å³/cell
- E_form: -1.15 eV per formula unit

---

Density functional theory data (GGA-PBE) for crystalline TbZrAlOs at its relaxed geometry.

The structure in POSCAR format:
```
TbZrAlOs
1.0
-0.872 4.482 -1.597
-2.676 3.034 2.651
2.078 3.788 2.173
Al Zr Tb Os
1 1 1 1
Direct
0.250 0.250 0.250
0.500 0.500 0.500
0.000 0.000 0.000
0.750 0.750 0.750
```

Summary:
- Volume: 80.0 Å³/cell
- E_form: -1.06 eV per formula unit

---

Density functional theory data (GGA-PBE) for crystalline AlTc3Os at its relaxed geometry.

The structure in POSCAR format:
```
AlTc3Os
1.0
-3.774 -1.356 -1.646
1.635 -3.988 -0.463
-1.370 -1.024 3.983
Tc Os Al
3 1 1
Direct
0.500 0.000 0.000
0.000 0.000 0.500
0.000 0.500 0.000
0.500 0.500 0.500
0.000 0.000 0.000
```

Summary:
- Volume: 81.5 Å³/cell
- E above lowest polymorph: 0 meV/atom
- E_form: 7.61 eV per formula unit

---

Density functional theory data (GGA-PBE) for crystalline AlTcOs3 at its relaxed geometry.

The structure in POSCAR format:
```
AlTcOs3
1.0
4.361 0.000 0.000
0.000 4.361 0.000
0.000 0.000 4.361
Tc Os Al
1 3 1
Direct
0.500 0.500 0.500
0.500 0.000 0.000
0.000 0.000 0.500
0.000 0.500 0.000
0.000 0.000 0.000
```

Summary:
- Volume: 82.9 Å³/cell
- E above lowest polymorph: 0 meV/atom
- E_form: 8.45 eV per formula unit

---

Density functional theory data (GGA-PBE) for crystalline Al2TcOs2 at its relaxed geometry.

The structure in POSCAR format:
```
Al2TcOs2
1.0
-2.008 -6.082 3.007
6.332 -2.806 -1.447
0.986 0.923 2.525
Al Os Tc
4 4 2
Direct
0.629 0.129 0.000
0.129 0.371 0.000
0.371 0.871 0.000
0.871 0.629 0.000
0.671 0.829 0.500
0.329 0.171 0.500
0.171 0.671 0.500
0.829 0.329 0.500
0.500 0.500 0.000
0.000 0.000 0.000
```

Summary:
- Volume: 143.4 Å³/cell
- E_form: 0.03 eV per formula unit

---

Density functional theory data (GGA-PBE) for crystalline AlTcOs3 at its relaxed geometry.

The structure in POSCAR format:
```
AlTcOs3
1.0
4.648 0.000 0.000
0.000 4.648 0.000
0.000 0.000 4.648
Tc Al Os
1 1 3
Direct
0.000 0.000 0.000
0.500 0.500 0.500
0.000 0.500 0.000
0.000 0.000 0.500
0.500 0.000 0.000
```

Summary:
- Volume: 100.4 Å³/cell
- E above lowest polymorph: 405 meV/atom
- E_form: 10.47 eV per formula unit

---

Density functional theory data (GGA-PBE) for crystalline Al4TcOs at its relaxed geometry.

The structure in POSCAR format:
```
Al4TcOs
1.0
-0.818 -4.967 3.068
1.251 -3.176 -4.808
5.745 -0.012 1.503
Os Al Tc
2 8 2
Direct
0.500 0.500 0.000
0.000 0.000 0.000
0.250 0.750 0.754
0.750 0.750 0.246
0.250 0.250 0.754
0.750 0.250 0.754
0.250 0.750 0.246
0.750 0.750 0.754
0.250 0.250 0.246
0.750 0.250 0.246
0.500 0.000 0.500
0.000 0.500 0.500
```

Summary:
- Volume: 206.4 Å³/cell
- E above lowest polymorph: 0 meV/atom
- E_form: -0.41 eV per formula unit

---

Density functional theory data (GGA-PBE) for crystalline AlTc4Os at its relaxed geometry.

The structure in POSCAR format:
```
AlTc4Os
1.0
3.178 -3.138 -2.390
2.985 -3.099 2.671
-0.885 -4.987 0.004
Tc Os Al
4 1 1
Direct
0.376 0.871 0.376
0.376 0.376 0.376
0.376 0.376 0.871
0.871 0.376 0.376
0.000 0.000 0.000
0.750 0.750 0.750
```

Summary:
- Volume: 91.9 Å³/cell
- E_form: 1.99 eV per formula unit

---

Density functional theory data (GGA-PBE) for crystalline AlTc3Os at its relaxed geometry.

The structure in POSCAR format:
```
AlTc3Os
1.0
-1.318 -2.621 3.648
4.081 0.891 2.114
-1.878 3.775 2.034
Al Os Tc
1 1 3
Direct
0.500 0.500 0.500
0.000 0.000 0.000
0.000 0.000 0.500
0.500 0.000 0.000
0.000 0.500 0.000
```

Summary:
- Volume: 102.6 Å³/cell
- E above lowest polymorph: 113 meV/atom
- E_form: 8.17 eV per formula unit

---

Density functional theory data (GGA-PBE) for crystalline Al4TcOs at its relaxed geometry.

The structure in POSCAR format:
```
Al4TcOs
1.0
-2.536 0.655 4.188
-0.784 4.562 1.725
-4.538 1.947 -0.139
Al Os Tc
4 1 1
Direct
0.625 0.625 0.125
0.625 0.625 0.625
0.125 0.625 0.625
0.625 0.125 0.625
0.250 0.250 0.250
0.000 0.000 0.000
```

Summary:
- Volume: 85.2 Å³/cell
- E above lowest polymorph: 176 meV/atom
- E_form: 0.65 eV per formula unit

---

Density functional theory data (GGA-PBE) for crystalline AlVTcOs2 at its relaxed geometry.

The structure in POSCAR format:
```
AlVTcOs2
1.0
-2.817 -3.104 1.131
2.894 -3.024 -1.091
1.574 0.047 4.046
Al V Os Tc
1 1 2 1
Direct
0.000 0.000 0.000
0.000 0.500 0.000
0.000 0.000 0.500
0.500 0.000 0.000
0.500 0.500 0.500
```

Summary:
- Volume: 81.5 Å³/cell
- E_form: 7.48 eV per formula unit

---

Density functional theory data (GGA-PBE) for crystalline Al2TeOs at its relaxed geometry.

The structure in POSCAR format:
```
Al2TeOs
1.0
-3.661 -2.920 -3.776
2.095 -5.259 2.036
-4.958 -4.163 3.235
Os Te Al
2 2 4
Direct
0.750 0.250 0.500
0.000 0.000 0.000
0.250 0.750 0.500
0.500 0.500 0.000
0.075 0.625 0.250
0.675 0.125 0.250
0.375 0.325 0.750
0.875 0.925 0.750
```

Summary:
- Volume: 211.9 Å³/cell
- Energy relative to the elements, uncorrected: 0.49 eV/atom

---

Density functional theory data (GGA-PBE) for crystalline Al2TeOs at its relaxed geometry.

The structure in POSCAR format:
```
Al2TeOs
1.0
-2.499 1.816 0.292
-1.499 -1.742 -1.994
-2.691 -4.684 6.105
Al Os Te
2 1 1
Direct
0.000 0.751 0.079
0.000 0.749 0.421
0.500 0.250 0.250
0.500 0.750 0.750
```

Summary:
- Volume: 76.9 Å³/cell
- Energy relative to the elements, uncorrected: -0.17 eV/atom

---

Density functional theory data (GGA-PBE) for crystalline Al4TeOs at its relaxed geometry.

The structure in POSCAR format:
```
Al4TeOs
1.0
1.712 1.164 4.816
-2.192 3.936 2.681
-3.008 -1.024 4.170
Al Os Te
4 1 1
Direct
0.375 0.375 0.375
0.375 0.874 0.375
0.874 0.375 0.375
0.375 0.375 0.874
0.750 0.750 0.750
0.000 0.000 0.000
```

Summary:
- Volume: 101.9 Å³/cell
- Energy relative to the elements, uncorrected: 0.45 eV/atom

---

Density functional theory data (GGA-PBE) for crystalline Al2TeOs at its relaxed geometry.

The structure in POSCAR format:
```
Al2TeOs
1.0
9.935 0.016 0.009
9.451 3.064 0.009
9.451 1.502 2.671
Te Al Os
1 2 1
Direct
0.771 0.771 0.771
0.239 0.239 0.239
0.984 0.984 0.984
0.507 0.507 0.507
```

Summary:
- Volume: 80.7 Å³/cell
- Energy relative to the elements, uncorrected: 0.29 eV/atom